HfTiN2O | PBE | optimized geometry

Cell: 3.922 3.922 3.671 Å, 90.00 90.00 90.00°
Fractional coordinates of all 5 atoms:
Hf 0.000 0.000 0.000
Ti 0.500 0.500 0.500
N 0.000 0.500 0.500
N 0.500 0.000 0.500
O 0.500 0.500 0.000

Output
VASP energy ... -9.046 eV/atom
E_form (uncorrected) ... -1.15 eV per atom
ρ ... 7.95 g/cm³

SmY3Ag2 | PBE | optimized geometry

Cell: 8.710 8.710 8.710 Å, 131.96 72.50 129.21°
Fractional coordinates of all 12 atoms:
Sm 0.000 0.000 0.000
Sm 0.500 0.500 0.000
Y 0.021 0.250 0.771
Y 0.250 0.750 0.500
Y 0.479 0.250 0.229
Y 0.521 0.750 0.771
Y 0.750 0.250 0.500
Y 0.979 0.750 0.229
Ag 0.143 0.700 0.843
Ag 0.357 0.200 0.557
Ag 0.643 0.800 0.443
Ag 0.857 0.300 0.157

Output
VASP energy ... -4.944 eV/atom
ρ ... 5.65 g/cm³